1.
LiZn2Bi2 | PBE | relaxed

Values from the calculation:
**E_form**: -0.031 eV/atom
**Spin magnetization**: 0.00 μB per cell
**Total DFT energy (no corrections)**: -2.476 eV/atom

Cell lengths 8.2639, 8.2639, 8.2639 Å; angles 151.61, 151.61, 40.58 degrees
With the nearest neighbours (Å) after each atom.
Fractional coordinates of all 5 atoms:
Li: 0.0000 0.0000 0.0000  8 Bi 3.41
Zn: 0.2500 0.7500 0.5000  4 Zn 2.87, 4 Bi 2.87
Zn: 0.7500 0.2500 0.5000  4 Zn 2.87, 4 Bi 2.87
Bi: 0.3809 0.3809 0.0000  4 Zn 2.87
Bi: 0.6191 0.6191 0.0000  4 Zn 2.87

2.
LiZn2Bi | PBE | relaxed

Values from the calculation:
**E_form**: -0.013 eV/atom
**Spin magnetization**: 0.00 μB per cell
**Total DFT energy (no corrections)**: -2.099 eV/atom

Cell lengths 5.3859, 5.3859, 5.3859 Å; angles 49.29, 49.29, 49.29 degrees
With the nearest neighbours (Å) after each atom.
Fractional coordinates of all 4 atoms:
Li: 0.0000 0.0000 0.0000  6 Zn 2.68
Zn: 0.2846 0.2846 0.2846  3 Li 2.68, 3 Zn 2.94
Zn: 0.7154 0.7154 0.7154  3 Li 2.68, 3 Zn 2.94
Bi: 0.5000 0.5000 0.5000  8 Zn 3.05-3.08

3.
LiZn2Bi2 | PBE | relaxed

Values from the calculation:
**E_form**: -0.007 eV/atom
**Spin magnetization**: 0.00 μB per cell
**Total DFT energy (no corrections)**: -2.452 eV/atom

Cell lengths 7.6077, 7.6077, 4.0379 Å; angles 90.00, 90.00, 90.00 degrees
With the nearest neighbours (Å) after each atom.
Fractional coordinates of all 10 atoms:
Li: 0.0000 0.0000 0.0000  4 Zn 3.04
Li: 0.5000 0.5000 0.0000  4 Zn 3.04
Zn: 0.1177 0.3823 0.0000  1 Zn 2.53
Zn: 0.3823 0.8823 0.0000  1 Zn 2.53
Zn: 0.6177 0.1177 0.0000  1 Zn 2.53
Zn: 0.8823 0.6177 0.0000  1 Zn 2.53
Bi: 0.1888 0.6888 0.5000  6 Zn 2.90-3.13
Bi: 0.3112 0.1888 0.5000  6 Zn 2.90-3.13
Bi: 0.6888 0.8112 0.5000  6 Zn 2.90-3.13
Bi: 0.8112 0.3112 0.5000  6 Zn 2.90-3.13

4.
LiZn4Bi | PBE | relaxed

Values from the calculation:
**E_form**: -0.046 eV/atom
**Spin magnetization**: 0.00 μB per cell
**Total DFT energy (no corrections)**: -1.861 eV/atom

Cell lengths 5.4038, 5.4038, 5.4038 Å; angles 60.00, 60.00, 60.00 degrees
With the nearest neighbours (Å) after each atom.
Fractional coordinates of all 6 atoms:
Li: 0.0000 0.0000 0.0000  12 Zn 3.17, 4 Bi 3.31
Zn: 0.1208 0.6264 0.6264  6 Zn 2.67-2.73
Zn: 0.6264 0.1208 0.6264  6 Zn 2.67-2.73
Zn: 0.6264 0.6264 0.1208  6 Zn 2.67-2.73
Zn: 0.6264 0.6264 0.6264  6 Zn 2.67-2.73
Bi: 0.2500 0.2500 0.2500  12 Zn 3.17, 4 Li 3.31